[1]
## Pm4Mg2Ag (PBE)

Data for a geometry-optimized Pm4Mg2Ag structure.

Cell and atoms, written as POSCAR:
```
Pm4Mg2Ag
1.0
2.678 1.546 8.685
-2.678 1.546 8.685
0.000 -3.092 8.685
Pm Mg Ag
4 2 1
direct
0.122 0.122 0.122 Pm
0.373 0.373 0.373 Pm
0.627 0.627 0.627 Pm
0.878 0.878 0.878 Pm
0.248 0.248 0.248 Mg
0.752 0.752 0.752 Mg
0.500 0.500 0.500 Ag
```

Calculated values
D(E_F): 11.0 states/eV/cell
Crystal system: trigonal
Formation energy from the elements: 0.573 eV/f.u.
Calculated density: 5669 kg/m3
Magnetization: 0.002 μB per atom

=====

[2]
## Pm2MgAg4 (PBE)

Data for a geometry-optimized Pm2MgAg4 structure.

Cell and atoms, written as POSCAR:
```
Pm2MgAg4
1.0
-2.464 2.464 7.718
2.464 -2.464 7.718
2.464 2.464 -7.718
Pm Mg Ag
2 1 4
direct
0.131 0.131 0.000 Pm
0.869 0.869 0.000 Pm
0.500 0.500 0.000 Mg
0.000 0.500 0.500 Ag
0.327 0.327 0.000 Ag
0.500 0.000 0.500 Ag
0.673 0.673 0.000 Ag
```

Calculated values
Energy relative to the lowest polymorph listed for this composition: 242.5 meV/atom
D(E_F): 5.4 states/eV/cell
Crystal system: tetragonal
Formation energy from the elements: 0.926 eV/f.u.
Calculated density: 6608 kg/m3
Magnetization: 0.000 μB per atom

=====

[3]
## Pm4Mg3Ag4 (PBE)

Data for a geometry-optimized Pm4Mg3Ag4 structure.

Cell and atoms, written as POSCAR:
```
Pm4Mg3Ag4
1.0
-1.636 4.718 8.925
1.636 -4.718 8.925
1.636 4.718 -8.925
Pm Mg Ag
4 3 4
direct
0.020 0.841 0.180 Pm
0.339 0.159 0.180 Pm
0.661 0.841 0.820 Pm
0.980 0.159 0.820 Pm
0.000 0.500 0.500 Mg
0.409 0.409 0.000 Mg
0.591 0.591 0.000 Mg
0.279 0.779 0.500 Ag
0.306 0.000 0.306 Ag
0.694 0.000 0.694 Ag
0.721 0.221 0.500 Ag
```

Calculated values
D(E_F): 9.9 states/eV/cell
Crystal system: orthorhombic
Formation energy from the elements: -0.857 eV/f.u.
Calculated density: 6535 kg/m3
Magnetization: 0.000 μB per atom

=====

[4]
## Pm2MgAg6 (PBE)

Data for a geometry-optimized Pm2MgAg6 structure.

Cell and atoms, written as POSCAR:
```
Pm2MgAg6
1.0
6.275 0.000 0.000
-3.138 5.435 0.000
0.000 0.000 5.848
Pm Mg Ag
2 1 6
direct
0.333 0.667 0.343 Pm
0.667 0.333 0.657 Pm
0.000 0.000 0.500 Mg
0.181 0.363 0.825 Ag
0.181 0.819 0.825 Ag
0.363 0.181 0.175 Ag
0.637 0.819 0.825 Ag
0.819 0.181 0.175 Ag
0.819 0.637 0.175 Ag
```

Calculated values
D(E_F): 4.9 states/eV/cell
Crystal system: trigonal
Formation energy from the elements: -1.713 eV/f.u.
Calculated density: 8003 kg/m3
Magnetization: 0.000 μB per atom

=====

[5]
## PmMg8Ag4 (PBE)

Data for a geometry-optimized PmMg8Ag4 structure.

Cell and atoms, written as POSCAR:
```
PmMg8Ag4
1.0
-4.934 4.934 2.831
4.934 -4.934 2.831
4.934 4.934 -2.831
Pm Mg Ag
1 8 4
direct
0.000 0.000 0.000 Pm
0.000 0.343 0.343 Mg
0.000 0.657 0.657 Mg
0.286 0.500 0.786 Mg
0.343 0.000 0.343 Mg
0.500 0.286 0.786 Mg
0.500 0.714 0.214 Mg
0.657 0.000 0.657 Mg
0.714 0.500 0.214 Mg
0.000 0.000 0.500 Ag
0.000 0.500 0.000 Ag
0.500 0.000 0.000 Ag
0.500 0.500 0.500 Ag
```

Calculated values
D(E_F): 6.8 states/eV/cell
Crystal system: tetragonal
Formation energy from the elements: -2.523 eV/f.u.
Calculated density: 4643 kg/m3
Magnetization: 0.000 μB per atom

=====

[6]
## PmMg2Ag (PBE)

Data for a geometry-optimized PmMg2Ag structure.

Cell and atoms, written as POSCAR:
```
PmMg2Ag
1.0
0.000 3.605 3.605
3.605 0.000 3.605
3.605 3.605 0.000
Pm Mg Ag
1 2 1
direct
0.000 0.000 0.000 Pm
0.500 0.500 0.500 Mg
0.750 0.750 0.750 Mg
0.250 0.250 0.250 Ag
```

Calculated values
Energy relative to the lowest polymorph listed for this composition: 16.2 meV/atom
D(E_F): 3.5 states/eV/cell
Crystal system: cubic
Formation energy from the elements: -0.782 eV/f.u.
Calculated density: 5341 kg/m3
Magnetization: 0.000 μB per atom

=====

[7]
## Pm3Mg5Ag2 (PBE)

Data for a geometry-optimized Pm3Mg5Ag2 structure.

Cell and atoms, written as POSCAR:
```
Pm3Mg5Ag2
1.0
10.603 0.000 0.000
0.000 10.603 0.000
0.000 0.000 4.498
Pm Mg Ag
6 10 4
direct
0.000 0.000 0.000 Pm
0.179 0.321 0.000 Pm
0.321 0.821 0.000 Pm
0.500 0.500 0.000 Pm
0.679 0.179 0.000 Pm
0.821 0.679 0.000 Pm
0.000 0.500 0.500 Mg
0.064 0.783 0.500 Mg
0.217 0.064 0.500 Mg
0.283 0.564 0.500 Mg
0.436 0.283 0.500 Mg
0.500 0.000 0.500 Mg
0.564 0.717 0.500 Mg
0.717 0.436 0.500 Mg
0.783 0.936 0.500 Mg
0.936 0.217 0.500 Mg
0.115 0.615 0.000 Ag
0.385 0.115 0.000 Ag
0.615 0.885 0.000 Ag
0.885 0.385 0.000 Ag
```

Calculated values
Energy relative to the lowest polymorph listed for this composition: 0.0 meV/atom
D(E_F): 18.3 states/eV/cell
Crystal system: tetragonal
Formation energy from the elements: -1.915 eV/f.u.
Calculated density: 5072 kg/m3
Magnetization: 0.000 μB per atom

=====

[8]
## PmMg3Ag2 (PBE)

Data for a geometry-optimized PmMg3Ag2 structure.

Cell and atoms, written as POSCAR:
```
PmMg3Ag2
1.0
8.155 -2.298 0.000
8.155 2.298 0.000
-3.090 0.000 7.447
Pm Mg Ag
2 6 4
direct
0.121 0.121 0.167 Pm
0.879 0.879 0.833 Pm
0.056 0.056 0.693 Mg
0.313 0.313 0.095 Mg
0.353 0.353 0.503 Mg
0.647 0.647 0.497 Mg
0.687 0.687 0.905 Mg
0.944 0.944 0.307 Mg
0.230 0.230 0.709 Ag
0.492 0.492 0.170 Ag
0.508 0.508 0.830 Ag
0.770 0.770 0.291 Ag
```

Calculated values
Energy relative to the lowest polymorph listed for this composition: 39.7 meV/atom
D(E_F): 7.1 states/eV/cell
Crystal system: monoclinic
Formation energy from the elements: -1.039 eV/f.u.
Calculated density: 5159 kg/m3
Magnetization: 0.000 μB per atom

=====

[9]
## Pm3Mg3Ag2 (PBE)

Data for a geometry-optimized Pm3Mg3Ag2 structure.

Cell and atoms, written as POSCAR:
```
Pm3Mg3Ag2
1.0
8.019 0.000 0.000
-4.009 6.944 0.000
0.000 0.000 3.896
Pm Mg Ag
3 3 2
direct
0.000 0.413 0.000 Pm
0.413 0.000 0.000 Pm
0.587 0.587 0.000 Pm
0.000 0.769 0.500 Mg
0.231 0.231 0.500 Mg
0.769 0.000 0.500 Mg
0.333 0.667 0.500 Ag
0.667 0.333 0.500 Ag
```

Calculated values
D(E_F): 7.0 states/eV/cell
Crystal system: hexagonal
Formation energy from the elements: -1.236 eV/f.u.
Calculated density: 5540 kg/m3
Magnetization: 0.000 μB per atom

=====

[10]
## Pm4MgAg2 (PBE)

Data for a geometry-optimized Pm4MgAg2 structure.

Cell and atoms, written as POSCAR:
```
Pm4MgAg2
1.0
2.643 1.526 8.828
-2.643 1.526 8.828
0.000 -3.052 8.828
Pm Mg Ag
4 1 2
direct
0.123 0.123 0.123 Pm
0.286 0.286 0.286 Pm
0.714 0.714 0.714 Pm
0.877 0.877 0.877 Pm
0.500 0.500 0.500 Mg
0.401 0.401 0.401 Ag
0.599 0.599 0.599 Ag
```

Calculated values
Energy relative to the lowest polymorph listed for this composition: 91.2 meV/atom
D(E_F): 9.0 states/eV/cell
Crystal system: trigonal
Formation energy from the elements: 0.188 eV/f.u.
Calculated density: 6375 kg/m3
Magnetization: 0.000 μB per atom

=====

[11]
## PmMg2Ag (PBE)

Data for a geometry-optimized PmMg2Ag structure.

Cell and atoms, written as POSCAR:
```
PmMg2Ag
1.0
4.458 0.000 0.000
0.000 4.458 0.000
0.000 0.000 4.969
Pm Mg Ag
1 2 1
direct
0.000 0.000 0.000 Pm
0.000 0.500 0.500 Mg
0.500 0.000 0.500 Mg
0.500 0.500 0.000 Ag
```

Calculated values
Energy relative to the lowest polymorph listed for this composition: 111.9 meV/atom
D(E_F): 3.5 states/eV/cell
Crystal system: tetragonal
Formation energy from the elements: -0.399 eV/f.u.
Calculated density: 5069 kg/m3
Magnetization: 0.000 μB per atom

=====

[12]
## Pm3Mg3Ag8 (PBE)

Data for a geometry-optimized Pm3Mg3Ag8 structure.

Cell and atoms, written as POSCAR:
```
Pm3Mg3Ag8
1.0
-2.351 4.911 6.776
2.351 -4.911 6.776
2.351 4.911 -6.776
Pm Mg Ag
3 3 8
direct
0.000 0.000 0.000 Pm
0.290 0.290 0.000 Pm
0.710 0.710 0.000 Pm
0.300 0.500 0.800 Mg
0.500 0.000 0.500 Mg
0.700 0.500 0.200 Mg
0.025 0.664 0.361 Ag
0.157 0.870 0.287 Ag
0.304 0.664 0.639 Ag
0.417 0.130 0.287 Ag
0.583 0.870 0.713 Ag
0.696 0.336 0.361 Ag
0.843 0.130 0.713 Ag
0.975 0.336 0.639 Ag
```

Calculated values
D(E_F): 8.3 states/eV/cell
Crystal system: orthorhombic
Formation energy from the elements: -3.069 eV/f.u.
Calculated density: 7274 kg/m3
Magnetization: 0.000 μB per atom

=====

[13]
## Pm3Mg5Ag2 (PBE)

Data for a geometry-optimized Pm3Mg5Ag2 structure.

Cell and atoms, written as POSCAR:
```
Pm3Mg5Ag2
1.0
-6.392 6.449 3.193
6.392 -6.449 3.193
6.392 6.449 -3.193
Pm Mg Ag
6 10 4
direct
0.140 0.247 0.386 Pm
0.250 0.250 0.000 Pm
0.360 0.747 0.107 Pm
0.640 0.253 0.893 Pm
0.750 0.750 0.000 Pm
0.860 0.753 0.614 Pm
0.012 0.750 0.262 Mg
0.105 0.659 0.764 Mg
0.250 0.750 0.500 Mg
0.395 0.159 0.555 Mg
0.488 0.750 0.738 Mg
0.512 0.250 0.262 Mg
0.605 0.841 0.445 Mg
0.750 0.250 0.500 Mg
0.895 0.341 0.236 Mg
0.988 0.250 0.738 Mg
0.147 0.860 0.007 Ag
0.353 0.360 0.714 Ag
0.647 0.640 0.286 Ag
0.853 0.140 0.993 Ag
```

Calculated values
Energy relative to the lowest polymorph listed for this composition: 137.7 meV/atom
D(E_F): 17.1 states/eV/cell
Crystal system: orthorhombic
Formation energy from the elements: -0.538 eV/f.u.
Calculated density: 4871 kg/m3
Magnetization: 0.000 μB per atom

=====

[14]
## Pm4Mg3Ag (PBE)

Data for a geometry-optimized Pm4Mg3Ag structure.

Cell and atoms, written as POSCAR:
```
Pm4Mg3Ag
1.0
3.843 0.000 0.000
0.000 3.843 0.000
0.000 0.000 15.173
Pm Mg Ag
4 3 1
direct
0.000 0.000 0.119 Pm
0.000 0.000 0.372 Pm
0.000 0.000 0.628 Pm
0.000 0.000 0.881 Pm
0.500 0.500 0.248 Mg
0.500 0.500 0.500 Mg
0.500 0.500 0.752 Mg
0.500 0.500 0.000 Ag
```

Calculated values
D(E_F): 8.1 states/eV/cell
Crystal system: tetragonal
Formation energy from the elements: -1.154 eV/f.u.
Calculated density: 5638 kg/m3
Magnetization: 0.000 μB per atom

=====

[15]
## PmMg2Ag (PBE)

Data for a geometry-optimized PmMg2Ag structure.

Cell and atoms, written as POSCAR:
```
PmMg2Ag
1.0
2.004 -9.502 0.000
2.004 9.502 0.000
0.000 0.000 10.469
Pm Mg Ag
4 8 4
direct
0.000 0.000 0.000 Pm
0.000 0.000 0.500 Pm
0.176 0.824 0.750 Pm
0.824 0.176 0.250 Pm
0.209 0.791 0.094 Mg
0.209 0.791 0.406 Mg
0.386 0.614 0.750 Mg
0.461 0.539 0.250 Mg
0.539 0.461 0.750 Mg
0.614 0.386 0.250 Mg
0.791 0.209 0.594 Mg
0.791 0.209 0.906 Mg
0.370 0.630 0.027 Ag
0.370 0.630 0.473 Ag
0.630 0.370 0.527 Ag
0.630 0.370 0.973 Ag
```

Calculated values
Energy relative to the lowest polymorph listed for this composition: 50.8 meV/atom
D(E_F): 12.3 states/eV/cell
Crystal system: orthorhombic
Formation energy from the elements: -0.644 eV/f.u.
Calculated density: 5024 kg/m3
Magnetization: 0.000 μB per atom

=====

[16]
## Pm2MgAg3 (PBE)

Data for a geometry-optimized Pm2MgAg3 structure.

Cell and atoms, written as POSCAR:
```
Pm2MgAg3
1.0
5.139 0.000 0.000
-2.569 4.450 0.000
0.000 0.000 12.487
Pm Mg Ag
4 2 6
direct
0.000 0.000 0.000 Pm
0.000 0.000 0.500 Pm
0.333 0.667 0.180 Pm
0.667 0.333 0.820 Pm
0.333 0.667 0.663 Mg
0.667 0.333 0.337 Mg
0.000 0.000 0.254 Ag
0.000 0.000 0.746 Ag
0.333 0.667 0.426 Ag
0.333 0.667 0.913 Ag
0.667 0.333 0.087 Ag
0.667 0.333 0.574 Ag
```

Calculated values
Energy relative to the lowest polymorph listed for this composition: 0.0 meV/atom
D(E_F): 8.9 states/eV/cell
Crystal system: trigonal
Formation energy from the elements: -1.594 eV/f.u.
Calculated density: 7418 kg/m3
Magnetization: 0.000 μB per atom

=====

[17]
## Pm3Mg7Ag2 (PBE)

Data for a geometry-optimized Pm3Mg7Ag2 structure.

Cell and atoms, written as POSCAR:
```
Pm3Mg7Ag2
1.0
2.989 1.726 9.625
-2.989 1.726 9.625
0.000 -3.452 9.625
Pm Mg Ag
3 7 2
direct
0.000 0.000 0.000 Pm
0.145 0.145 0.145 Pm
0.855 0.855 0.855 Pm
0.076 0.580 0.580 Mg
0.420 0.420 0.924 Mg
0.420 0.924 0.420 Mg
0.500 0.500 0.500 Mg
0.580 0.076 0.580 Mg
0.580 0.580 0.076 Mg
0.924 0.420 0.420 Mg
0.334 0.334 0.334 Ag
0.666 0.666 0.666 Ag
```

Calculated values
D(E_F): 11.2 states/eV/cell
Crystal system: trigonal
Formation energy from the elements: -1.692 eV/f.u.
Calculated density: 4575 kg/m3
Magnetization: 0.000 μB per atom

=====

[18]
## Pm4MgAg (PBE)

Data for a geometry-optimized Pm4MgAg structure.

Cell and atoms, written as POSCAR:
```
Pm4MgAg
1.0
5.086 0.000 0.000
0.000 5.086 0.000
0.000 0.000 7.877
Pm Mg Ag
4 1 1
direct
0.000 0.500 0.232 Pm
0.000 0.500 0.768 Pm
0.500 0.000 0.232 Pm
0.500 0.000 0.768 Pm
0.000 0.000 0.500 Mg
0.500 0.500 0.000 Ag
```

Calculated values
D(E_F): 9.9 states/eV/cell
Crystal system: tetragonal
Formation energy from the elements: 1.342 eV/f.u.
Calculated density: 5803 kg/m3
Magnetization: 0.000 μB per atom

=====

[19]
## Pm6MgAg5 (PBE)

Data for a geometry-optimized Pm6MgAg5 structure.

Cell and atoms, written as POSCAR:
```
Pm6MgAg5
1.0
5.312 0.000 0.000
0.000 7.444 0.000
-2.624 0.000 8.005
Pm Mg Ag
6 1 5
direct
0.000 0.240 0.000 Pm
0.000 0.760 0.000 Pm
0.329 0.249 0.659 Pm
0.329 0.751 0.659 Pm
0.671 0.249 0.341 Pm
0.671 0.751 0.341 Pm
0.500 0.500 0.000 Mg
0.156 0.500 0.308 Ag
0.168 0.000 0.334 Ag
0.500 0.000 0.000 Ag
0.832 0.000 0.666 Ag
0.844 0.500 0.692 Ag
```

Calculated values
D(E_F): 8.9 states/eV/cell
Crystal system: monoclinic
Formation energy from the elements: -2.811 eV/f.u.
Calculated density: 7521 kg/m3
Magnetization: 0.000 μB per atom

=====

[20]
## PmMg2Ag9 (PBE)

Data for a geometry-optimized PmMg2Ag9 structure.

Cell and atoms, written as POSCAR:
```
PmMg2Ag9
1.0
2.799 1.616 9.074
-2.799 1.616 9.074
0.000 -3.233 9.074
Pm Mg Ag
1 2 9
direct
0.000 0.000 0.000 Pm
0.145 0.145 0.145 Mg
0.855 0.855 0.855 Mg
0.081 0.589 0.589 Ag
0.334 0.334 0.334 Ag
0.411 0.411 0.919 Ag
0.411 0.919 0.411 Ag
0.500 0.500 0.500 Ag
0.589 0.081 0.589 Ag
0.589 0.589 0.081 Ag
0.666 0.666 0.666 Ag
0.919 0.411 0.411 Ag
```

Calculated values
D(E_F): 6.8 states/eV/cell
Crystal system: trigonal
Formation energy from the elements: -1.139 eV/f.u.
Calculated density: 7849 kg/m3
Magnetization: 0.000 μB per atom